Computed, not measured: a relaxed structure of Li2ErTl at the GGA-PBE level of DFT.

Cell and atoms, written as extended XYZ:
```
4
Lattice="-2.0429 1.7893 3.9784 1.8583 -1.0146 4.3267 2.2438 3.4353 2.5232" Properties=species:S:1:pos:R:3 pbc="T T T"
Er 0.0000 0.0000 0.0000
Tl 1.0296 2.1050 5.4141
Li 1.5444 3.1576 8.1212
Li 0.5148 1.0525 2.7071
```

Results
Energy ... -2.897 eV per atom
Distance to the lowest polymorph of the same formula ... 0 meV per atom
Formation enthalpy at 0 K ... -0.2075 eV/atom
N(E_F) ... 1.23 states/eV/f.u.
Density ... 8.1 g/cm3
Total moment ... 0.0000 μB per atom
SG ... No. 225

=====

Computed, not measured: a relaxed structure of LiEr2Tl at the GGA-PBE level of DFT.

Cell and atoms, written as extended XYZ:
```
4
Lattice="-1.8959 0.6359 -3.5662 -2.8088 -4.0541 0.7703 -3.4163 2.8071 2.3168" Properties=species:S:1:pos:R:3 pbc="T T T"
Er -1.7081 1.4036 1.1584
Er -1.4044 -2.0270 0.3852
Li -0.9480 0.3180 -1.7831
Tl -4.0605 -0.3055 -0.2396
```

Results
Energy ... -3.528 eV per atom
Distance to the lowest polymorph of the same formula ... 4 meV per atom
Formation enthalpy at 0 K ... -0.1769 eV/atom
N(E_F) ... 2.54 states/eV/f.u.
Density ... 8.9 g/cm3
Total moment ... 0.0000 μB per atom
SG ... No. 123

=====

Computed, not measured: a relaxed structure of LiEr4Tl at the GGA-PBE level of DFT.

Cell and atoms, written as extended XYZ:
```
6
Lattice="-2.2624 2.4312 3.7434 -4.4130 -1.8496 -1.4657 0.9951 -5.8867 4.4263" Properties=species:S:1:pos:R:3 pbc="T T T"
Er -5.2812 -2.1221 1.5402
Er -4.7978 -4.9940 3.6992
Er -1.9436 -2.4132 0.4012
Er -1.4599 -5.2846 2.5605
Li -3.9084 -4.7748 0.7483
Tl -2.3354 -5.5764 5.5656
```

Results
Energy ... -3.506 eV per atom
Formation enthalpy at 0 K ... 0.2495 eV/atom
N(E_F) ... 6.97 states/eV/f.u.
Density ... 7.9 g/cm3
Total moment ... 0.0000 μB per atom
SG ... No. 123

=====

Computed, not measured: a relaxed structure of Li3Er2Tl2 at the GGA-PBE level of DFT.

Cell and atoms, written as extended XYZ:
```
7
Lattice="4.8148 0.0000 0.0000 -2.4074 5.3390 0.2895 0.0000 -2.5199 6.0474" Properties=species:S:1:pos:R:3 pbc="T T T"
Tl 2.4074 1.8702 4.7785
Tl 0.0000 0.9489 1.5584
Li 2.4074 0.0293 2.6590
Li 0.0000 2.7898 3.6779
Li 2.4074 0.0000 0.0000
Er 0.0000 -0.3200 4.7399
Er 2.4074 3.1391 1.5970
```

Results
Energy ... -3.008 eV per atom
Formation enthalpy at 0 K ... -0.2082 eV/atom
N(E_F) ... 4.08 states/eV/f.u.
Density ... 8.0 g/cm3
Total moment ... 0.0000 μB per atom
SG ... No. 12

=====

Computed, not measured: a relaxed structure of Li4Er5Tl4 at the GGA-PBE level of DFT.

Cell and atoms, written as extended XYZ:
```
13
Lattice="0.0151 4.4118 -1.2444 -8.3565 2.3805 -0.1047 0.5530 4.4747 7.4283" Properties=species:S:1:pos:R:3 pbc="T T T"
Er -7.3528 8.3122 4.0514
Er -0.4356 2.9549 2.0278
Er -2.1932 6.5691 6.3772
Er 0.0000 0.0000 0.0000
Er -5.5952 4.6980 -0.2980
Li -3.7282 3.0249 2.2363
Li -2.4129 5.6759 3.2080
Li -5.3754 5.5911 2.8713
Li -4.0602 8.2421 3.8429
Tl -2.5380 4.9086 0.4861
Tl -6.5410 7.4797 1.1098
Tl -1.2473 3.7873 4.9694
Tl -5.2504 6.3584 5.5931
```

Results
Energy ... -3.309 eV per atom
Formation enthalpy at 0 K ... -0.2370 eV/atom
N(E_F) ... 13.04 states/eV/f.u.
Density ... 8.7 g/cm3
Total moment ... 0.0000 μB per atom
SG ... No. 87

=====

Computed, not measured: a relaxed structure of LiErTl4 at the GGA-PBE level of DFT.

Cell and atoms, written as extended XYZ:
```
6
Lattice="3.5153 0.0000 1.0167 2.0845 6.1679 -0.6216 -0.3198 -2.4626 7.6910" Properties=species:S:1:pos:R:3 pbc="T T T"
Tl 4.1975 4.5028 5.2435
Tl 1.5923 2.5294 1.0802
Tl 3.6877 1.1759 7.0059
Tl 1.0825 -0.7975 2.8426
Li 0.0000 0.0000 0.0000
Er 2.6400 1.8527 4.0431
```

Results
Energy ... -2.765 eV per atom
Distance to the lowest polymorph of the same formula ... 0 meV per atom
Formation enthalpy at 0 K ... -0.1082 eV/atom
N(E_F) ... 3.21 states/eV/f.u.
Density ... 10.4 g/cm3
Total moment ... 0.0000 μB per atom
SG ... No. 12

=====

Computed, not measured: a relaxed structure of LiEr2Tl3 at the GGA-PBE level of DFT.

Cell and atoms, written as extended XYZ:
```
12
Lattice="-2.0234 4.6934 -1.0203 -0.2970 -1.9753 4.8138 11.2639 5.4975 2.9508" Properties=species:S:1:pos:R:3 pbc="T T T"
Li 6.5607 3.8754 4.8164
Li 2.3828 4.3401 1.9279
Er 0.0000 0.0000 0.0000
Er 7.8472 7.0071 3.3594
Er 1.0964 1.2085 3.3849
Er 5.6320 2.7487 1.4754
Tl 9.3742 5.2485 5.5534
Tl 3.8507 2.5528 4.1064
Tl 8.3885 4.0941 2.1975
Tl 5.0928 5.6628 2.6379
Tl -0.4306 2.9670 1.1909
Tl 2.8754 1.4033 0.7532
```

Results
Energy ... -3.323 eV per atom
Distance to the lowest polymorph of the same formula ... 0 meV per atom
Formation enthalpy at 0 K ... -0.2997 eV/atom
N(E_F) ... 2.39 states/eV/f.u.
Density ... 10.5 g/cm3
Total moment ... 0.0000 μB per atom
SG ... No. 164

=====

Computed, not measured: a relaxed structure of Li4ErTl3 at the GGA-PBE level of DFT.

Cell and atoms, written as extended XYZ:
```
8
Lattice="4.6668 0.0000 1.3776 2.1301 4.1523 1.3776 -0.0395 -0.0241 8.7275" Properties=species:S:1:pos:R:3 pbc="T T T"
Er 0.0000 0.0000 0.0000
Li 2.6175 1.5991 8.3201
Li 0.8614 0.5263 5.6754
Li 4.1399 2.5291 3.1626
Li 5.8960 3.6019 5.8073
Tl 4.9665 3.0341 8.9561
Tl 1.7909 1.0941 2.5266
Tl 3.3787 2.0641 5.7414
```

Results
Energy ... -2.631 eV per atom
Formation enthalpy at 0 K ... -0.2164 eV/atom
N(E_F) ... 3.35 states/eV/f.u.
Density ... 7.9 g/cm3
Total moment ... 0.0000 μB per atom
SG ... No. 166

=====

Computed, not measured: a relaxed structure of Li3ErTl3 at the GGA-PBE level of DFT.

Cell and atoms, written as extended XYZ:
```
14
Lattice="-6.4810 1.4126 2.6314 1.6751 -3.4860 5.9971 2.4726 6.0643 2.8344" Properties=species:S:1:pos:R:3 pbc="T T T"
Tl -2.8217 -0.1652 2.8150
Tl 2.6920 2.8052 5.1243
Tl -1.9841 -1.9082 5.8135
Tl -0.3840 3.3853 2.0750
Tl 1.4557 -0.2269 3.7071
Tl -3.6245 4.0916 3.3907
Er -1.1666 1.9955 5.7314
Er 0.0000 0.0000 0.0000
Li -4.0232 -0.6835 4.9721
Li -1.3861 5.2545 3.4415
Li 2.4926 0.4177 5.9150
Li -0.7827 -1.3898 3.6564
Li 1.6551 2.1607 2.9165
Li -2.6223 2.2224 2.0243
```

Results
Energy ... -2.242 eV per atom
Formation enthalpy at 0 K ... 0.2443 eV/atom
N(E_F) ... 3.90 states/eV/f.u.
Density ... 7.3 g/cm3
Total moment ... 0.0000 μB per atom
SG ... No. 223

=====

Computed, not measured: a relaxed structure of LiEr4Tl2 at the GGA-PBE level of DFT.

Cell and atoms, written as extended XYZ:
```
14
Lattice="-5.0872 -0.9684 -4.6667 -4.2505 -1.3296 4.9094 1.1015 8.6947 3.3085" Properties=species:S:1:pos:R:3 pbc="T T T"
Li -4.2361 5.2674 -0.0036
Li -4.0001 1.1293 3.5548
Er -3.6227 5.6647 2.9222
Er -2.5355 1.3820 -1.7712
Er -5.7008 5.0147 5.3223
Er -2.7446 3.1449 5.1877
Er -4.6135 0.7319 0.6290
Er -2.5164 6.5390 6.3045
Er -5.7198 -0.1424 -2.7533
Er -5.4916 3.2518 -1.6366
Tl -7.1542 -1.0894 0.2231
Tl -1.0820 7.4861 3.3281
Tl -2.5348 3.2403 0.9204
Tl -5.7015 3.1563 2.6307
```

Results
Energy ... -3.643 eV per atom
Formation enthalpy at 0 K ... -0.0866 eV/atom
N(E_F) ... 7.66 states/eV/f.u.
Density ... 9.3 g/cm3
Total moment ... 0.0000 μB per atom
SG ... No. 11

=====

Computed, not measured: a relaxed structure of Li5ErTl6 at the GGA-PBE level of DFT.

Cell and atoms, written as extended XYZ:
```
12
Lattice="4.6333 -0.0270 1.5441 0.0386 7.3646 0.0129 -0.0231 -0.0135 7.7930" Properties=species:S:1:pos:R:3 pbc="T T T"
Tl 3.8612 5.4604 3.9569
Tl 2.3447 5.3239 0.7814
Tl 2.3273 2.0138 0.7756
Tl 0.7877 1.8638 5.3931
Tl 0.8065 5.4739 5.3994
Tl 3.8423 1.8503 3.9506
Li 3.1170 3.6554 6.1586
Li 1.5327 -0.0135 3.1245
Li 3.0775 -0.0270 6.2126
Li 1.5319 3.6688 3.1914
Li 0.0193 3.6823 0.0064
Er 0.0000 0.0000 0.0000
```

Results
Energy ... -2.601 eV per atom
Formation enthalpy at 0 K ... -0.2407 eV/atom
N(E_F) ... 4.28 states/eV/f.u.
Density ... 8.9 g/cm3
Total moment ... 0.0000 μB per atom
SG ... No. 65